A plane-wave DFT calculation with GGA-PBE was carried out for crystalline HfTiMoRu at its relaxed geometry.

```
data_HfTiMoRu
_cell_length_a 6.402
_cell_length_b 6.402
_cell_length_c 6.402
_cell_angle_alpha 90.00
_cell_angle_beta 90.00
_cell_angle_gamma 90.00
_symmetry_space_group_name_H-M 'F -4 3 m'
_symmetry_Int_Tables_number 216
_symmetry_space_group_name_Hall 'F -4 2 3'
loop_
_atom_site_label
_atom_site_fract_x
_atom_site_fract_y
_atom_site_fract_z
Hf1 0.000 0.000 0.000
Ti1 0.000 0.000 0.500
Mo1 0.250 0.250 0.750
Ru1 0.250 0.250 0.250
```

Computed properties:
Its energy relative to the elements is -359 meV/atom. The total moment is 0.0 μB/cell. Its total energy is -39.39 eV per formula unit.


A plane-wave DFT calculation with GGA-PBE was carried out for crystalline HfMo2RuW at its relaxed geometry.

```
data_HfMo2RuW
_cell_length_a 4.644
_cell_length_b 4.644
_cell_length_c 4.985
_cell_angle_alpha 90.00
_cell_angle_beta 90.00
_cell_angle_gamma 90.00
_symmetry_space_group_name_H-M 'P 4/m m m'
_symmetry_Int_Tables_number 123
_symmetry_space_group_name_Hall '-P 4 2'
loop_
_atom_site_label
_atom_site_fract_x
_atom_site_fract_y
_atom_site_fract_z
Hf1 0.000 0.000 0.000
Mo1 0.000 0.500 0.500
Ru1 0.500 0.500 0.000
W1 0.000 0.000 0.500
```

Computed properties:
Its energy relative to the elements is 1780 meV/atom. The total moment is 0.0 μB/cell. Its total energy is -44.95 eV per formula unit.


A plane-wave DFT calculation with GGA-PBE was carried out for crystalline YHfMo2Ru at its relaxed geometry.

```
data_YHfMo2Ru
_cell_length_a 4.699
_cell_length_b 4.699
_cell_length_c 5.370
_cell_angle_alpha 90.00
_cell_angle_beta 90.00
_cell_angle_gamma 90.00
_symmetry_space_group_name_H-M 'P 4/m m m'
_symmetry_Int_Tables_number 123
_symmetry_space_group_name_Hall '-P 4 2'
loop_
_atom_site_label
_atom_site_fract_x
_atom_site_fract_y
_atom_site_fract_z
Y1 0.000 0.000 0.000
Hf1 0.000 0.000 0.500
Mo1 0.000 0.500 0.500
Ru1 0.500 0.500 0.000
```

Computed properties:
Its energy relative to the elements is 1958 meV/atom. The total moment is 0.0 μB/cell. Its total energy is -37.57 eV per formula unit.


A plane-wave DFT calculation with GGA-PBE was carried out for crystalline YHf2MoRu at its relaxed geometry.

```
data_YHf2MoRu
_cell_length_a 4.956
_cell_length_b 4.956
_cell_length_c 4.870
_cell_angle_alpha 90.00
_cell_angle_beta 90.00
_cell_angle_gamma 90.00
_symmetry_space_group_name_H-M 'P 4/m m m'
_symmetry_Int_Tables_number 123
_symmetry_space_group_name_Hall '-P 4 2'
loop_
_atom_site_label
_atom_site_fract_x
_atom_site_fract_y
_atom_site_fract_z
Y1 0.000 0.000 0.000
Hf1 0.000 0.500 0.500
Mo1 0.500 0.500 0.000
Ru1 0.500 0.500 0.500
```

Computed properties:
Its energy relative to the elements is 440 meV/atom. The total moment is 0.0 μB/cell. Its total energy is -44.28 eV per formula unit.


A plane-wave DFT calculation with GGA-PBE was carried out for crystalline YHfMoRu2 at its relaxed geometry.

```
data_YHfMoRu2
_cell_length_a 4.769
_cell_length_b 4.769
_cell_length_c 4.848
_cell_angle_alpha 90.00
_cell_angle_beta 90.00
_cell_angle_gamma 90.00
_symmetry_space_group_name_H-M 'P 4/m m m'
_symmetry_Int_Tables_number 123
_symmetry_space_group_name_Hall '-P 4 2'
loop_
_atom_site_label
_atom_site_fract_x
_atom_site_fract_y
_atom_site_fract_z
Y1 0.000 0.000 0.000
Hf1 0.500 0.500 0.000
Mo1 0.500 0.500 0.500
Ru1 0.000 0.500 0.500
```

Computed properties:
Its energy relative to the elements is 656 meV/atom. The total moment is 0.0 μB/cell. Its total energy is -42.52 eV per formula unit.


A plane-wave DFT calculation with GGA-PBE was carried out for crystalline HfZrMoRu at its relaxed geometry.

```
data_HfZrMoRu
_cell_length_a 6.586
_cell_length_b 6.586
_cell_length_c 6.586
_cell_angle_alpha 90.00
_cell_angle_beta 90.00
_cell_angle_gamma 90.00
_symmetry_space_group_name_H-M 'F -4 3 m'
_symmetry_Int_Tables_number 216
_symmetry_space_group_name_Hall 'F -4 2 3'
loop_
_atom_site_label
_atom_site_fract_x
_atom_site_fract_y
_atom_site_fract_z
Hf1 0.000 0.000 0.000
Zr1 0.000 0.000 0.500
Mo1 0.250 0.250 0.250
Ru1 0.250 0.250 0.750
```

Computed properties:
Its energy relative to the elements is -319 meV/atom. The total moment is 0.0 μB/cell. Its total energy is -39.88 eV per formula unit.


A plane-wave DFT calculation with GGA-PBE was carried out for crystalline Hf3MoS at its relaxed geometry.

```
data_Hf3MoS
_cell_length_a 5.017
_cell_length_b 5.017
_cell_length_c 5.017
_cell_angle_alpha 90.00
_cell_angle_beta 90.00
_cell_angle_gamma 90.00
_symmetry_space_group_name_H-M 'P m -3 m'
_symmetry_Int_Tables_number 221
_symmetry_space_group_name_Hall '-P 4 2 3'
loop_
_atom_site_label
_atom_site_fract_x
_atom_site_fract_y
_atom_site_fract_z
Hf1 0.000 0.000 0.500
Mo1 0.000 0.000 0.000
S1 0.500 0.500 0.500
```

Computed properties:
The total moment is 0.0 μB/cell. As for the excess energy over the best structure of this formula in the dataset: 0.8836 eV per atom. Its total energy is -40.61 eV per formula unit. The calculation puts the uncorrected formation energy at 0.841 eV/atom.


A plane-wave DFT calculation with GGA-PBE was carried out for crystalline HfMo3S at its relaxed geometry.

```
data_HfMo3S
_cell_length_a 4.460
_cell_length_b 4.460
_cell_length_c 4.460
_cell_angle_alpha 90.00
_cell_angle_beta 90.00
_cell_angle_gamma 90.00
_symmetry_space_group_name_H-M 'P m -3 m'
_symmetry_Int_Tables_number 221
_symmetry_space_group_name_Hall '-P 4 2 3'
loop_
_atom_site_label
_atom_site_fract_x
_atom_site_fract_y
_atom_site_fract_z
Hf1 0.000 0.000 0.000
Mo1 0.000 0.500 0.500
S1 0.500 0.500 0.500
```

Computed properties:
The total moment is 0.0 μB/cell. As for the excess energy over the best structure of this formula in the dataset: 0.0000 eV per atom. Its total energy is -45.59 eV per formula unit. The calculation puts the uncorrected formation energy at 0.197 eV/atom.


Q: Which formula does entry 6 have?
A: HfZrMoRu